# 1
A plane-wave DFT calculation with PBE was carried out for ZrTaPt after structural relaxation.

Results
Space-group type ... Cmcm (63)
Energy above the most stable polymorph in this dataset ... 0.00 eV/f.u.
ΔH_f (0 K) ... -0.285 eV per atom

a = 2.846 Å, b = 16.900 Å, c = 4.678 Å
α = 90.00°, β = 90.00°, γ = 90.00°
Sites, in units of the cell vectors:
Zr 0.000 0.135 0.250
Zr 0.000 0.865 0.750
Zr 0.500 0.365 0.750
Zr 0.500 0.635 0.250
Ta 0.000 0.468 0.250
Ta 0.000 0.532 0.750
Ta 0.500 0.032 0.750
Ta 0.500 0.968 0.250
Pt 0.000 0.301 0.250
Pt 0.000 0.699 0.750
Pt 0.500 0.199 0.750
Pt 0.500 0.801 0.250



# 2
A plane-wave DFT calculation with PBE was carried out for CoCuAsPt after structural relaxation.

Results
Space-group type ... F-43m (216)
Energy above the most stable polymorph in this dataset ... 0.00 eV/f.u.

a = 6.022 Å, b = 6.022 Å, c = 6.022 Å
α = 90.00°, β = 90.00°, γ = 90.00°
Sites, in units of the cell vectors:
Co 0.000 0.000 0.000
Co 0.000 0.500 0.500
Co 0.500 0.000 0.500
Co 0.500 0.500 0.000
Cu 0.250 0.250 0.250
Cu 0.250 0.750 0.750
Cu 0.750 0.250 0.750
Cu 0.750 0.750 0.250
As 0.250 0.250 0.750
As 0.250 0.750 0.250
As 0.750 0.250 0.250
As 0.750 0.750 0.750
Pt 0.000 0.000 0.500
Pt 0.000 0.500 0.000
Pt 0.500 0.000 0.000
Pt 0.500 0.500 0.500



# 3
A plane-wave DFT calculation with PBE was carried out for RbIr3C4 after structural relaxation.

Results
Space-group type ... I-42m (121)
DFT total energy ... -7.16 eV per atom

a = 4.979 Å, b = 4.979 Å, c = 9.489 Å
α = 90.00°, β = 90.00°, γ = 90.00°
Sites, in units of the cell vectors:
Rb 0.000 0.000 0.000
Rb 0.500 0.500 0.500
Ir 0.000 0.000 0.500
Ir 0.000 0.500 0.250
Ir 0.000 0.500 0.750
Ir 0.500 0.000 0.250
Ir 0.500 0.000 0.750
Ir 0.500 0.500 0.000
C 0.174 0.174 0.332
C 0.174 0.826 0.668
C 0.326 0.326 0.832
C 0.326 0.674 0.168
C 0.674 0.326 0.168
C 0.674 0.674 0.832
C 0.826 0.174 0.668
C 0.826 0.826 0.332



# 4
A plane-wave DFT calculation with PBE was carried out for NdSCl after structural relaxation.

Results
Space-group type ... P2_1/m (11)
DFT total energy ... -5.76 eV per atom

a = 5.383 Å, b = 4.420 Å, c = 7.214 Å
α = 90.00°, β = 108.56°, γ = 90.00°
Sites, in units of the cell vectors:
Nd 0.168 0.250 0.306
Nd 0.832 0.750 0.694
S 0.271 0.750 0.560
S 0.729 0.250 0.440
Cl 0.252 0.750 0.062
Cl 0.748 0.250 0.938



# 5
A plane-wave DFT calculation with PBE was carried out for TmGeAuS3 after structural relaxation.

Results
Space-group type ... Pnma (62)
Energy above the most stable polymorph in this dataset ... 0.06 eV/f.u.

a = 11.283 Å, b = 3.922 Å, c = 12.082 Å
α = 90.00°, β = 90.00°, γ = 90.00°
Sites, in units of the cell vectors:
Tm 0.008 0.250 0.162
Tm 0.492 0.750 0.662
Tm 0.508 0.250 0.338
Tm 0.992 0.750 0.838
Ge 0.181 0.250 0.583
Ge 0.319 0.750 0.083
Ge 0.681 0.250 0.917
Ge 0.819 0.750 0.417
Au 0.192 0.750 0.407
Au 0.308 0.250 0.907
Au 0.692 0.750 0.093
Au 0.808 0.250 0.593
S 0.008 0.750 0.319
S 0.104 0.250 0.952
S 0.249 0.250 0.202
S 0.251 0.750 0.702
S 0.396 0.750 0.452
S 0.492 0.250 0.819
S 0.508 0.750 0.181
S 0.604 0.250 0.548
S 0.749 0.250 0.298
S 0.751 0.750 0.798
S 0.896 0.750 0.048
S 0.992 0.250 0.681



# 6
A plane-wave DFT calculation with PBE was carried out for Cs2CuBiCl6 after structural relaxation.

Results
Space-group type ... C2/m (12)
DFT total energy ... -3.36 eV per atom

a = 7.469 Å, b = 7.469 Å, c = 7.469 Å
α = 119.99°, β = 119.99°, γ = 60.01°
Sites, in units of the cell vectors:
Cs 0.250 0.250 0.250
Cs 0.750 0.750 0.750
Cu 0.000 0.000 0.500
Bi 0.500 0.500 0.000
Cl 0.240 0.240 0.739
Cl 0.240 0.759 0.259
Cl 0.241 0.760 0.741
Cl 0.759 0.240 0.259
Cl 0.760 0.241 0.741
Cl 0.760 0.760 0.261



# 7
A plane-wave DFT calculation with PBE was carried out for ZrTl2 after structural relaxation.

Results
Space-group type ... Fd-3m (227)
DFT total energy ... -3.00 eV per atom

a = 9.361 Å, b = 9.361 Å, c = 9.361 Å
α = 60.00°, β = 60.00°, γ = 60.00°
Sites, in units of the cell vectors:
Zr 0.125 0.125 0.125
Zr 0.875 0.875 0.875
Tl 0.000 0.000 0.000
Tl 0.000 0.000 0.500
Tl 0.000 0.500 0.000
Tl 0.500 0.000 0.000



# 8
A plane-wave DFT calculation with PBE was carried out for DyYLu2 after structural relaxation.

Results
Space-group type ... Cmcm (63)
Energy above the most stable polymorph in this dataset ... 0.00 eV/f.u.
ΔH_f (0 K) ... 0.001 eV per atom

a = 7.155 Å, b = 12.390 Å, c = 5.552 Å
α = 90.00°, β = 90.00°, γ = 90.00°
Sites, in units of the cell vectors:
Dy 0.000 0.166 0.250
Dy 0.000 0.834 0.750
Dy 0.500 0.334 0.750
Dy 0.500 0.666 0.250
Y 0.000 0.334 0.750
Y 0.000 0.666 0.250
Y 0.500 0.166 0.250
Y 0.500 0.834 0.750
Lu 0.250 0.083 0.750
Lu 0.250 0.417 0.250
Lu 0.250 0.583 0.750
Lu 0.250 0.917 0.250
Lu 0.750 0.083 0.750
Lu 0.750 0.417 0.250
Lu 0.750 0.583 0.750
Lu 0.750 0.917 0.250